Record 1
A relaxed structure of Li2GeHAu. Source: Alexandria via LeMat-Bulk, functional PBE.

## Properties
Its energy above the most stable polymorph in this dataset is 0.000 eV per atom. Its space group is P4/mmm, No. 123. The value obtained for the electronic total energy is -16.4 eV per cell.

Lattice parameters (Å, degrees): 4.081 4.081 3.865 90.00 90.00 90.00
Fractional positions:
Li: 0.000 0.500 0.000
Li: 0.500 0.000 0.000
Ge: 0.000 0.000 0.500
H: 0.500 0.500 0.000
Au: 0.500 0.500 0.500

---

Record 2
A relaxed structure of SrAuCl4. Source: Alexandria via LeMat-Bulk, functional PBE.

## Properties
Its energy above the most stable polymorph in this dataset is 0.000 eV per atom. Its formation energy without anion corrections is -1293 meV/atom. Its space group is I-4, No. 82. The value obtained for the electronic total energy is -20.1 eV per cell.

Lattice parameters (Å, degrees): 6.145 6.145 6.145 110.69 110.69 107.07
Fractional positions:
Sr: 0.000 0.000 0.000
Au: 0.250 0.750 0.500
Cl: 0.000 0.996 0.498
Cl: 0.004 0.502 0.004
Cl: 0.498 0.000 0.996
Cl: 0.498 0.502 0.502

---

Record 3
A relaxed structure of Na2TlZnH. Source: Alexandria via LeMat-Bulk, functional PBE.

## Properties
Its space group is P4/mmm, No. 123. The value obtained for the electronic total energy is -9.3 eV per cell.

Lattice parameters (Å, degrees): 4.784 4.784 4.262 90.00 90.00 90.00
Fractional positions:
Na: 0.000 0.500 0.000
Na: 0.500 0.000 0.000
Tl: 0.000 0.000 0.500
Zn: 0.500 0.500 0.500
H: 0.500 0.500 0.000

---

Record 4
A relaxed structure of Tb3Ga3Hg2. Source: Alexandria via LeMat-Bulk, functional PBE.

## Properties
The value obtained for the energy of formation from the pure elements is -12.36 kcal/mol of atoms. Its space group is Cmcm, No. 63. The value obtained for the electronic total energy is -55.7 eV per cell.

Lattice parameters (Å, degrees): 5.997 5.997 14.722 90.00 90.00 136.03
Fractional positions:
Tb: 0.077 0.923 0.615
Tb: 0.077 0.923 0.885
Tb: 0.350 0.650 0.750
Tb: 0.650 0.350 0.250
Tb: 0.923 0.077 0.115
Tb: 0.923 0.077 0.385
Ga: 0.370 0.630 0.250
Ga: 0.402 0.598 0.545
Ga: 0.402 0.598 0.955
Ga: 0.598 0.402 0.045
Ga: 0.598 0.402 0.455
Ga: 0.630 0.370 0.750
Hg: 0.216 0.784 0.097
Hg: 0.216 0.784 0.403
Hg: 0.784 0.216 0.597
Hg: 0.784 0.216 0.903

---

Record 5
A relaxed structure of LaErPb2. Source: Alexandria via LeMat-Bulk, functional PBE.

## Properties
The value obtained for the energy of formation from the pure elements is -8.45 kcal/mol of atoms. Its space group is R-3m, No. 166. The value obtained for the electronic total energy is -18.4 eV per cell.

Lattice parameters (Å, degrees): 9.998 9.998 9.998 22.31 22.31 22.31
Fractional positions:
La: 0.000 0.000 0.000
Er: 0.500 0.500 0.500
Pb: 0.246 0.246 0.246
Pb: 0.754 0.754 0.754

---

Record 6
A relaxed structure of Sm3Cd7In2. Source: Alexandria via LeMat-Bulk, functional PBE.

## Properties
The value obtained for the energy of formation from the pure elements is -5.31 kcal/mol of atoms. Its space group is R-3m, No. 166. The value obtained for the electronic total energy is -28.8 eV per cell.

Lattice parameters (Å, degrees): 10.205 10.205 10.205 34.37 34.37 34.37
Fractional positions:
Sm: 0.000 0.000 0.000
Sm: 0.142 0.142 0.142
Sm: 0.858 0.858 0.858
Cd: 0.078 0.590 0.590
Cd: 0.410 0.410 0.922
Cd: 0.410 0.922 0.410
Cd: 0.500 0.500 0.500
Cd: 0.590 0.078 0.590
Cd: 0.590 0.590 0.078
Cd: 0.922 0.410 0.410
In: 0.335 0.335 0.335
In: 0.665 0.665 0.665

---

Record 7
A relaxed structure of SbSeCl2. Source: Alexandria via LeMat-Bulk, functional PBE.

## Properties
Its energy above the most stable polymorph in this dataset is 0.620 eV per atom. Its formation energy without anion corrections is 228 meV/atom. Its space group is Cmmm, No. 65. The value obtained for the electronic total energy is -10.4 eV per cell.

Lattice parameters (Å, degrees): 5.514 5.514 3.155 90.00 90.00 111.29
Fractional positions:
Sb: 0.000 0.000 0.000
Se: 0.500 0.500 0.000
Cl: 0.000 0.500 0.500
Cl: 0.500 0.000 0.500

---

Record 8
A relaxed structure of Tm8RhPb2. Source: Alexandria via LeMat-Bulk, functional PBE.

## Properties
The value obtained for the energy of formation from the pure elements is -7.83 kcal/mol of atoms. Its space group is C2/m, No. 12. The value obtained for the electronic total energy is -54.3 eV per cell.

Lattice parameters (Å, degrees): 9.819 9.819 6.664 103.21 103.21 29.03
Fractional positions:
Tm: 0.017 0.017 0.278
Tm: 0.216 0.216 0.831
Tm: 0.358 0.358 0.488
Tm: 0.411 0.411 0.030
Tm: 0.589 0.589 0.970
Tm: 0.642 0.642 0.512
Tm: 0.784 0.784 0.169
Tm: 0.983 0.983 0.722
Rh: 0.500 0.500 0.500
Pb: 0.183 0.183 0.272
Pb: 0.817 0.817 0.728

---

Record 9
A relaxed structure of CrOs5. Source: Alexandria via LeMat-Bulk, functional PBE.

## Properties
The value obtained for the energy of formation from the pure elements is 3.58 kcal/mol of atoms. Its space group is P-1, No. 2. The value obtained for the electronic total energy is -129.7 eV per cell.

Lattice parameters (Å, degrees): 4.176 5.155 8.149 74.95 89.98 89.98
Fractional positions:
Cr: 0.250 0.130 0.313
Cr: 0.750 0.870 0.687
Os: 0.248 0.656 0.556
Os: 0.250 0.138 0.978
Os: 0.250 0.655 0.225
Os: 0.251 0.125 0.643
Os: 0.251 0.661 0.889
Os: 0.749 0.339 0.111
Os: 0.749 0.875 0.357
Os: 0.750 0.345 0.775
Os: 0.750 0.862 0.022
Os: 0.752 0.344 0.444

---

Record 10
A relaxed structure of BaAgPt2. Source: Alexandria via LeMat-Bulk, functional PBE.

## Properties
Its energy above the most stable polymorph in this dataset is 0.374 eV per atom. The value obtained for the energy of formation from the pure elements is -1.45 kcal/mol of atoms. Its space group is P4/mmm, No. 123. The value obtained for the electronic total energy is -17.1 eV per cell.

Lattice parameters (Å, degrees): 3.486 3.486 7.306 90.00 90.00 90.00
Fractional positions:
Ba: 0.000 0.000 0.000
Ag: 0.000 0.000 0.500
Pt: 0.500 0.500 0.306
Pt: 0.500 0.500 0.694

---

Record 11
A relaxed structure of Y6Tm2Tl. Source: Alexandria via LeMat-Bulk, functional PBE.

## Properties
Its energy above the most stable polymorph in this dataset is 0.063 eV per atom. The value obtained for the energy of formation from the pure elements is 0.52 kcal/mol of atoms. Its space group is C2/c, No. 15. The value obtained for the electronic total energy is -99.8 eV per cell.

Lattice parameters (Å, degrees): 9.474 9.474 6.393 93.34 93.34 93.52
Fractional positions:
Y: 0.029 0.174 0.075
Y: 0.091 0.683 0.406
Y: 0.174 0.029 0.575
Y: 0.190 0.536 0.925
Y: 0.317 0.909 0.094
Y: 0.464 0.810 0.575
Y: 0.536 0.190 0.425
Y: 0.683 0.091 0.906
Y: 0.810 0.464 0.075
Y: 0.826 0.971 0.425
Y: 0.909 0.317 0.594
Y: 0.971 0.826 0.925
Tm: 0.240 0.362 0.445
Tm: 0.362 0.240 0.945
Tm: 0.638 0.760 0.055
Tm: 0.760 0.638 0.555
Tl: 0.487 0.513 0.250
Tl: 0.513 0.487 0.750

---

Record 12
A relaxed structure of KFe3Se. Source: Alexandria via LeMat-Bulk, functional PBE.

## Properties
Its energy above the most stable polymorph in this dataset is 1.555 eV per atom. Its formation energy without anion corrections is 2321 meV/atom. Its space group is Pm-3m, No. 221. The value obtained for the electronic total energy is -18.4 eV per cell.

Lattice parameters (Å, degrees): 4.598 4.598 4.598 90.00 90.00 90.00
Fractional positions:
K: 0.000 0.000 0.000
Fe: 0.000 0.000 0.500
Fe: 0.000 0.500 0.000
Fe: 0.500 0.000 0.000
Se: 0.500 0.500 0.500

---

no.,DOS(E_F) (states/eV per atom)
1,0.472
2,0.509
3,0.415
4,0.565
5,0.659
6,0.860
7,0.593
8,0.879
9,0.897
10,0.525
11,1.476
12,1.248